Entry 1:
Below is EuThRuPt after structural relaxation, with properties calculated at the PBE level. Values from VASP.

Quantum ESPRESSO input file:
```
&SYSTEM
  ibrav = 0, nat = 4, ntyp = 4
/
ATOMIC_SPECIES
Eu 151.96 Eu.upf
Th 232.04 Th.upf
Ru 101.07 Ru.upf
Pt 195.08 Pt.upf
CELL_PARAMETERS angstrom
0.0000 3.5532 3.5532
3.5532 0.0000 3.5532
3.5532 3.5532 0.0000
ATOMIC_POSITIONS angstrom
Eu 0.0000 0.0000 0.0000
Th 3.5532 3.5532 3.5532
Ru 5.3299 5.3299 5.3299
Pt 1.7766 1.7766 1.7766
```

Computed properties:
Formation energy   -0.540 eV/atom
Calculated volume   89.7 Å³/f.u.
Space-group type   No. 216
VASP energy   -8.793 eV/atom
Magnetic moment   6.521 μB per cell
Crystal system   cubic

***

Entry 2:
Below is AlHg2Os after structural relaxation, with properties calculated at the PBE level. Values from VASP.

Quantum ESPRESSO input file:
```
&SYSTEM
  ibrav = 0, nat = 4, ntyp = 3
/
ATOMIC_SPECIES
Al 26.98 Al.upf
Hg 200.59 Hg.upf
Os 190.23 Os.upf
CELL_PARAMETERS angstrom
1.5088 0.8711 9.2556
-1.5088 0.8711 9.2556
0.0000 -1.7422 9.2556
ATOMIC_POSITIONS angstrom
Al 0.0000 0.0000 0.0000
Hg 0.0000 0.0000 6.9369
Hg 0.0000 0.0000 20.8301
Os 0.0000 0.0000 13.8835
```

Computed properties:
Formation energy   0.634 eV/atom
Calculated volume   73.0 Å³/f.u.
Space-group type   No. 166
VASP energy   -3.260 eV/atom
Magnetic moment   0.588 μB per cell
Crystal system   trigonal

***

Entry 3:
Below is La2AsRu after structural relaxation, with properties calculated at the PBE level. Values from VASP.

Quantum ESPRESSO input file:
```
&SYSTEM
  ibrav = 0, nat = 4, ntyp = 3
/
ATOMIC_SPECIES
La 138.91 La.upf
As 74.92 As.upf
Ru 101.07 Ru.upf
CELL_PARAMETERS angstrom
2.2330 1.2892 5.7210
-2.2330 1.2892 5.7210
0.0000 -2.5785 5.7210
ATOMIC_POSITIONS angstrom
La 0.0000 0.0000 0.0000
La 0.0000 0.0000 3.4116
As 0.0000 0.0000 13.3347
Ru 0.0000 0.0000 7.2252
```

Computed properties:
Formation energy   -0.647 eV/atom
Calculated volume   98.8 Å³/f.u.
Space-group type   No. 160
VASP energy   -6.593 eV/atom
Magnetic moment   0.001 μB per cell
Crystal system   trigonal

***

Entry 4:
Below is Ce4PaBi5 after structural relaxation, with properties calculated at the PBE level. Values from VASP.

Quantum ESPRESSO input file:
```
&SYSTEM
  ibrav = 0, nat = 10, ntyp = 3
/
ATOMIC_SPECIES
Ce 140.12 Ce.upf
Pa 231.04 Pa.upf
Bi 208.98 Bi.upf
CELL_PARAMETERS angstrom
-5.1189 5.1189 3.2328
5.1189 -5.1189 3.2328
5.1189 5.1189 -3.2328
ATOMIC_POSITIONS angstrom
Ce 3.0816 1.0013 0.0000
Ce 4.1175 -2.0373 3.2328
Ce 1.0013 7.1561 0.0000
Ce 2.0373 4.1175 3.2328
Pa 0.0000 0.0000 3.2500
Bi 0.0000 0.0000 0.0154
Bi 6.1299 2.1034 0.0010
Bi 2.1034 4.1078 0.0010
Bi 3.0154 1.0111 3.2338
Bi -1.0111 3.0154 3.2338
```

Computed properties:
Formation energy   -0.640 eV/atom
Calculated volume   338.8 Å³/f.u.
Space-group type   No. 79
VASP energy   -5.904 eV/atom
Magnetic moment   4.942 μB per cell
Crystal system   tetragonal